DFT (GGA+U) results for W5O12F after structural relaxation.

Values from the calculation:
Space-group type   No. 51
Total DFT energy (no corrections)   -7.409 eV per atom
Calculated volume   12.5 Å³/atom
Crystal system   orthorhombic

Lattice parameters (Å, degrees): 3.867 6.382 18.241 90.00 90.00 90.00
Last column: magnetic moment on the atom in μB.
Sites, in units of the cell vectors:
W1 0.000 0.246 0.648  1.14
W2 0.000 0.246 0.852  1.14
W3 0.000 0.202 0.250  1.12
W4 0.000 0.296 0.062  1.09
W5 0.000 0.296 0.438  1.09
W6 0.000 0.704 0.562  1.09
W7 0.000 0.704 0.938  1.09
W8 0.000 0.798 0.750  1.12
W9 0.000 0.754 0.352  1.14
W10 0.000 0.754 0.148  1.14
O1 0.000 0.072 0.140  -0.03
O2 0.000 0.072 0.360  -0.03
O3 0.000 0.128 0.750  -0.02
O4 0.500 0.245 0.648  -0.06
O5 0.500 0.245 0.852  -0.06
O6 0.500 0.203 0.250  -0.16
O7 0.500 0.291 0.060  -0.15
O8 0.500 0.291 0.440  -0.15
O9 0.000 0.378 0.548  -0.03
O10 0.000 0.378 0.952  -0.03
O11 0.000 0.439 0.169  -0.02
O12 0.000 0.439 0.331  -0.02
O13 0.000 0.561 0.669  -0.02
O14 0.000 0.561 0.831  -0.02
O15 0.000 0.622 0.048  -0.03
O16 0.000 0.622 0.452  -0.03
O17 0.500 0.709 0.560  -0.15
O18 0.500 0.709 0.940  -0.15
O19 0.500 0.797 0.750  -0.16
O20 0.500 0.755 0.352  -0.06
O21 0.500 0.755 0.148  -0.06
O22 0.000 0.872 0.250  -0.02
O23 0.000 0.928 0.640  -0.03
O24 0.000 0.928 0.860  -0.03
F1 0.000 0.000 0.000  0.01
F2 0.000 0.000 0.500  0.01